This record from Alexandria via LeMat-Bulk describes a relaxed structure of Al2PW. The functional is GGA-PBE. Values from VASP.

Calculated values
**Formation energy from the elements**: 0.353 eV/atom
**Total energy**: -24.44 eV/cell
**M_tot**: 0.0 μB per cell

```
&SYSTEM
  ibrav = 0, nat = 4, ntyp = 3
/
ATOMIC_SPECIES
P 30.97 P.upf
Al 26.98 Al.upf
W 183.84 W.upf
CELL_PARAMETERS angstrom
-0.069 0.609 4.346
-3.783 -0.321 2.201
-0.696 -3.403 2.682
ATOMIC_POSITIONS crystal
P 0.500 0.500 0.500
Al 0.250 0.250 0.250
Al 0.000 0.000 0.000
W 0.750 0.750 0.750
```


This record from Alexandria via LeMat-Bulk describes a relaxed structure of Ho7Er3Sc. The functional is GGA-PBE. Values from VASP.

Calculated values
**Formation energy from the elements**: 0.157 eV/atom
**Total energy**: -50.34 eV/cell
**Relative energy among the computed polymorphs**: 0 meV/atom
**M_tot**: 0.0 μB per cell

```
&SYSTEM
  ibrav = 0, nat = 11, ntyp = 3
/
ATOMIC_SPECIES
Ho 164.93 Ho.upf
Er 167.26 Er.upf
Sc 44.96 Sc.upf
CELL_PARAMETERS angstrom
4.574 -0.119 -2.856
-1.177 10.076 -2.309
-1.098 -1.072 8.474
ATOMIC_POSITIONS crystal
Ho 0.689 0.377 0.189
Ho 0.136 0.173 0.136
Ho 0.881 0.715 0.381
Ho 0.311 0.623 0.811
Er 0.711 0.978 0.211
Ho 0.864 0.827 0.864
Ho 0.500 0.000 0.500
Ho 0.119 0.285 0.619
Er 0.000 0.500 0.000
Sc 0.500 0.500 0.500
Er 0.289 0.022 0.789
```


This record from Alexandria via LeMat-Bulk describes a relaxed structure of ReMoRh. The functional is GGA-PBE. Values from VASP.

Calculated values
**Formation energy from the elements**: -0.096 eV/atom
**Total energy**: -61.84 eV/cell
**Relative energy among the computed polymorphs**: 0 meV/atom
**M_tot**: 0.0 μB per cell

```
&SYSTEM
  ibrav = 0, nat = 6, ntyp = 3
/
ATOMIC_SPECIES
Re 186.21 Re.upf
Mo 95.94 Mo.upf
Rh 102.91 Rh.upf
CELL_PARAMETERS angstrom
-1.407 1.015 -2.136
-3.787 -0.629 2.196
-0.173 7.266 1.784
ATOMIC_POSITIONS crystal
Re 0.742 0.262 0.829
Re 0.182 0.762 0.949
Mo 0.070 0.262 0.172
Rh 0.405 0.262 0.504
Rh 0.518 0.762 0.274
Mo 0.853 0.762 0.606
```